1.
Computed, not measured: an optimized crystal structure of Mg2SiAgHg at the PBE level of DFT.

Cell: 5.007 5.007 5.211 Å, 90.00 90.00 90.00°
Element x y z (fractional)
Mg 0.000 0.500 0.000
Mg 0.500 0.000 0.000
Si 0.000 0.000 0.000
Ag 0.500 0.500 0.500
Hg 0.000 0.000 0.500

Properties
Electronic total energy   -2.04 eV per atom
ΔE_f (raw)   0.31 eV/atom
V   131 Å³/cell

2.
Computed, not measured: an optimized crystal structure of BaCrSi2 at the PBE level of DFT.

Cell: 5.597 5.597 5.597 Å, 138.13 110.30 84.74°
Element x y z (fractional)
Ba 0.000 0.000 0.000
Cr 0.355 0.855 0.500
Si 0.533 0.533 0.000
Si 0.686 0.186 0.500

Properties
Electronic total energy   -5.23 eV per atom
ΔE_f (raw)   0.37 eV/atom
V   106 Å³/cell

One value per record, in order, for total magnetization: 0.00 4.62 μB/f.u..